# SbPOs2

A relaxed SbPOs2 crystal (GGA-PBE, Alexandria via LeMat-Bulk).

Cell lengths 2.958, 3.623, 6.544 Å; angles 90.00, 100.01, 90.00 degrees
Element x y z (fractional)
Sb 0.000 0.000 0.000
P 0.500 0.000 0.500
Os 0.326 0.500 0.682
Os 0.674 0.500 0.318

Results
size of the total moment: 0.00 Bohr magnetons per cell
E_form (uncorrected): 207.1 kJ/mol of formula units
final energy: -29.85 eV per formula unit